PBE Pa3Bi3Pb2, optimized geometry; DFT formation energy = -0.085 eV/atom; SG = P6_3/mcm; total moment = 2.27 Bohr magnetons per cell
1.0
6.210 0.000 0.000
0.000 8.104 -4.679
0.000 0.000 9.358
Bi Pa Pb
6 6 4
Direct
0.250 0.750 0.000
0.750 0.250 0.000
0.250 0.250 0.250
0.750 0.000 0.250
0.250 0.000 0.750
0.750 0.750 0.750
0.750 0.613 0.000
0.250 0.000 0.387
0.750 0.387 0.387
0.750 0.000 0.613
0.250 0.387 0.000
0.250 0.613 0.613
0.000 0.333 0.667
0.500 0.333 0.667
0.500 0.667 0.333
0.000 0.667 0.333

---

PBE Sr2CaAu, optimized geometry; DFT formation energy = -0.128 eV/atom; relative energy among the computed polymorphs = 327 meV/atom; SG = I4/mmm; total moment = 0.00 Bohr magnetons per cell
1.0
-0.988 -0.200 -6.450
-3.752 -5.034 -1.788
-0.590 4.684 4.508
Ca Sr Au
1 2 1
Direct
0.750 0.250 0.500
0.000 0.000 0.000
0.500 0.500 0.000
0.250 0.750 0.500

---

PBE TbEr3, optimized geometry; DFT formation energy = 0.023 eV/atom; relative energy among the computed polymorphs = 21 meV/atom; SG = Pm-3m; total moment = 0.00 Bohr magnetons per cell
1.0
-4.723 1.481 0.417
-0.845 -1.372 -4.698
-1.285 -4.538 1.556
Er Tb
3 1
Direct
0.500 0.500 0.000
0.000 0.500 0.500
0.500 0.000 0.500
0.000 0.000 0.000